Version w
Below is a relaxed SnPtSe3 crystal, with properties calculated at the PBE level.

Computed properties:
Mass density (g cm⁻³): 7.098

Cell lengths 6.6573, 6.6573, 7.7351 Å; angles 64.51, 64.51, 60.00 degrees
Fractional positions:
1 Sn 0.6245 0.6245 0.1264
2 Se 0.8141 0.0377 0.7213
3 Se 0.0377 0.4269 0.7213
4 Se 0.1859 0.9623 0.2787
5 Se 0.4269 0.8141 0.7213
6 Sn 0.3755 0.3755 0.8736
7 Pt 0.1670 0.1670 0.4990
8 Pt 0.8330 0.8330 0.5010
9 Se 0.9623 0.5731 0.2787
10 Se 0.5731 0.1859 0.2787

Version x
Below is a relaxed SnPtSe3 crystal, with properties calculated at the PBE level.

Computed properties:
Mass density (g cm⁻³): 7.267

Cell lengths 5.0111, 5.0111, 5.0111 Å; angles 90.00, 90.00, 90.00 degrees
Fractional positions:
1 Se 0.0000 0.0000 0.5000
2 Se 0.5000 0.0000 0.0000
3 Pt 0.0000 0.0000 0.0000
4 Sn 0.5000 0.5000 0.5000
5 Se 0.0000 0.5000 0.0000

Short version: version x is the least stable of them.

Version w
Below is a relaxed Sn3PtSe crystal, with properties calculated at the PBE level.

Computed properties:
Mass density (g cm⁻³): 6.659

Cell lengths 5.3963, 5.3963, 5.3963 Å; angles 90.00, 90.00, 90.00 degrees
Fractional positions:
1 Sn 0.5000 0.0000 0.0000
2 Pt 0.5000 0.5000 0.5000
3 Se 0.0000 0.0000 0.0000
4 Sn 0.0000 0.0000 0.5000
5 Sn 0.0000 0.5000 0.0000

Version x
Below is a relaxed Sn3PtSe crystal, with properties calculated at the PBE level.

Computed properties:
Mass density (g cm⁻³): 7.291

Cell lengths 5.2357, 5.2357, 5.2357 Å; angles 90.00, 90.00, 90.00 degrees
Fractional positions:
1 Sn 0.0000 0.5000 0.0000
2 Sn 0.5000 0.0000 0.0000
3 Pt 0.0000 0.0000 0.0000
4 Sn 0.0000 0.0000 0.5000
5 Se 0.5000 0.5000 0.5000

Short version: version w is the least stable of them.

Version w
Below is a relaxed SrPt3Se crystal, with properties calculated at the PBE level.

Computed properties:
Mass density (g cm⁻³): 8.843

Cell lengths 5.2070, 5.2070, 5.2070 Å; angles 90.00, 90.00, 90.00 degrees
Fractional positions:
1 Se 0.5000 0.5000 0.5000
2 Pt 0.5000 0.0000 0.0000
3 Pt 0.0000 0.5000 0.0000
4 Pt 0.0000 0.0000 0.5000
5 Sr 0.0000 0.0000 0.0000

Version x
Below is a relaxed SrPt3Se crystal, with properties calculated at the PBE level.

Computed properties:
Mass density (g cm⁻³): 11.094

Cell lengths 4.8280, 4.8280, 4.8280 Å; angles 90.00, 90.00, 90.00 degrees
Fractional positions:
1 Pt 0.0000 0.0000 0.5000
2 Pt 0.0000 0.5000 0.0000
3 Sr 0.5000 0.5000 0.5000
4 Se 0.0000 0.0000 0.0000
5 Pt 0.5000 0.0000 0.0000

Short version: version w is the least stable of them.

Version w
Below is a relaxed SrPtSe3 crystal, with properties calculated at the PBE level.

Computed properties:
Mass density (g cm⁻³): 6.645

Cell lengths 5.0638, 5.0638, 5.0638 Å; angles 90.00, 90.00, 90.00 degrees
Fractional positions:
1 Se 0.5000 0.0000 0.0000
2 Pt 0.0000 0.0000 0.0000
3 Se 0.0000 0.5000 0.0000
4 Sr 0.5000 0.5000 0.5000
5 Se 0.0000 0.0000 0.5000

Version x
Below is a relaxed SrPtSe3 crystal, with properties calculated at the PBE level.

Computed properties:
Mass density (g cm⁻³): 4.752

Cell lengths 5.6623, 5.6623, 5.6623 Å; angles 90.00, 90.00, 90.00 degrees
Fractional positions:
1 Se 0.5000 0.0000 0.0000
2 Pt 0.5000 0.5000 0.5000
3 Sr 0.0000 0.0000 0.0000
4 Se 0.0000 0.0000 0.5000
5 Se 0.0000 0.5000 0.0000

Short version: version x is the least stable of them.

Version w
Below is a relaxed SrPt2Se2 crystal, with properties calculated at the PBE level.

Computed properties:
Mass density (g cm⁻³): 9.751

Cell lengths 4.2730, 4.2730, 6.6545 Å; angles 71.27, 71.27, 90.00 degrees
Fractional positions:
1 Sr 0.0000 0.0000 0.0000
2 Se 0.3770 0.3770 0.2460
3 Pt 0.2500 0.7500 0.5000
4 Pt 0.7500 0.2500 0.5000
5 Se 0.6230 0.6230 0.7540

Version x
Below is a relaxed SrPt2Se2 crystal, with properties calculated at the PBE level.

Computed properties:
Mass density (g cm⁻³): 9.508

Cell lengths 4.9189, 4.9189, 5.7579 Å; angles 64.71, 64.71, 90.00 degrees
Fractional positions:
1 Pt 0.6591 0.6591 0.6818
2 Se 0.7500 0.2500 0.5000
3 Pt 0.3409 0.3409 0.3182
4 Sr 0.0000 0.0000 0.0000
5 Se 0.2500 0.7500 0.5000

Short version: version w is the least stable of them.

Version w
Below is a relaxed TaPtSe2 crystal, with properties calculated at the PBE level.

Computed properties:
Mass density (g cm⁻³): 9.139

Cell lengths 6.7603, 6.7603, 4.6281 Å; angles 83.79, 83.79, 27.49 degrees
Fractional positions:
1 Se 0.8978 0.8978 0.0458
2 Pt 0.7500 0.7500 0.7500
3 Ta 0.2500 0.2500 0.2500
4 Se 0.6022 0.6022 0.4542

Version x
Below is a relaxed TaPtSe2 crystal, with properties calculated at the PBE level.

Computed properties:
Mass density (g cm⁻³): 12.810

Cell lengths 4.6086, 4.6086, 4.6086 Å; angles 60.00, 60.00, 60.00 degrees
Fractional positions:
1 Se 0.7500 0.7500 0.7500
2 Pt 0.5000 0.5000 0.5000
3 Se 0.2500 0.2500 0.2500
4 Ta 0.0000 0.0000 0.0000

Short version: version x is the least stable of them.

Version w
Below is a relaxed TaPtSe2 crystal, with properties calculated at the PBE level.

Computed properties:
Mass density (g cm⁻³): 9.608

Cell lengths 7.4655, 7.4655, 7.4655 Å; angles 30.03, 30.03, 30.03 degrees
Fractional positions:
1 Pt 0.7581 0.7581 0.7581
2 Ta 0.4855 0.4855 0.4855
3 Se 0.2254 0.2254 0.2254
4 Se 0.0310 0.0310 0.0310

Version x
Below is a relaxed TaPtSe2 crystal, with properties calculated at the PBE level.

Computed properties:
Mass density (g cm⁻³): 10.877

Cell lengths 3.0364, 3.0364, 8.8410 Å; angles 90.00, 90.00, 90.00 degrees
Fractional positions:
1 Se 0.5000 0.5000 0.3303
2 Ta 0.0000 0.0000 0.5089
3 Se 0.0000 0.0000 0.9446
4 Pt 0.5000 0.5000 0.7162

Version y
Below is a relaxed TaPtSe2 crystal, with properties calculated at the PBE level.

Computed properties:
Mass density (g cm⁻³): 11.606

Cell lengths 4.7351, 3.9375, 4.1086 Å; angles 85.82, 90.00, 90.00 degrees
Fractional positions:
1 Se 0.0000 0.4791 0.4836
2 Ta 0.5000 0.2500 0.2500
3 Se 0.0000 0.0209 0.0164
4 Pt 0.5000 0.7500 0.7500

Short version: version y is the least stable of them.

Version w
Below is a relaxed TaPtSe2 crystal, with properties calculated at the PBE level.

Computed properties:
Mass density (g cm⁻³): 12.243

Cell lengths 3.1955, 5.3764, 4.2154 Å; angles 90.00, 90.00, 90.00 degrees
Fractional positions:
1 Ta 0.5000 0.0000 0.5000
2 Se 0.0000 0.0000 0.0000
3 Se 0.5000 0.5000 0.0000
4 Pt 0.0000 0.5000 0.5000

Version x
Below is a relaxed TaPtSe2 crystal, with properties calculated at the PBE level.

Computed properties:
Mass density (g cm⁻³): 12.357

Cell lengths 4.6643, 4.6643, 4.6643 Å; angles 60.00, 60.00, 60.00 degrees
Fractional positions:
1 Se 0.7500 0.7500 0.7500
2 Ta 0.2500 0.2500 0.2500
3 Se 0.0000 0.0000 0.0000
4 Pt 0.5000 0.5000 0.5000

Short version: version w is the least stable of them.

Version w
Below is a relaxed Tb3PtSe2 crystal, with properties calculated at the PBE level.

Computed properties:
Mass density (g cm⁻³): 9.178

Cell lengths 7.2051, 7.2051, 12.8992 Å; angles 101.02, 101.02, 108.41 degrees
Fractional positions:
1 Se 0.5803 0.5803 0.1606
2 Se 0.4197 0.4197 0.8394
3 Se 0.7477 0.7477 0.4954
4 Tb 0.0886 0.0719 0.6731
5 Pt 0.1664 0.6664 0.3328
6 Tb 0.2363 0.2363 0.0000
7 Tb 0.6655 0.1488 0.8269
8 Tb 0.5845 0.6012 0.6731
9 Tb 0.3988 0.4155 0.3269
10 Tb 0.0137 0.5137 0.5000
11 Tb 0.7637 0.7637 0.0000
12 Se 0.2523 0.2523 0.5046
13 Tb 0.1614 0.6781 0.8269
14 Tb 0.8512 0.3345 0.1731
15 Se 0.5023 0.0023 0.0046
16 Se 0.9977 0.4977 0.9954
17 Pt 0.0836 0.0836 0.1672
18 Tb 0.4863 0.9863 0.5000
19 Pt 0.9164 0.9164 0.8328
20 Se 0.8303 0.3303 0.6606
21 Tb 0.3219 0.8386 0.1731
22 Tb 0.9281 0.9114 0.3269
23 Se 0.6697 0.1697 0.3394
24 Pt 0.3336 0.8336 0.6672

Version x
Below is a relaxed Tb3PtSe2 crystal, with properties calculated at the PBE level.

Computed properties:
Mass density (g cm⁻³): 9.200

Cell lengths 3.9895, 5.8951, 7.2952 Å; angles 113.83, 105.87, 90.00 degrees
Fractional positions:
1 Se 0.1706 0.1706 0.8412
2 Pt 0.5000 0.5000 0.5000
3 Tb 0.8453 0.3453 0.1905
4 Tb 0.1547 0.6547 0.8095
5 Se 0.8294 0.8294 0.1588
6 Tb 0.5000 0.0000 0.5000

Short version: version x is the least stable of them.

Version w
Below is a relaxed TcPtSe2 crystal, with properties calculated at the PBE level.

Computed properties:
Mass density (g cm⁻³): 9.377

Cell lengths 6.4885, 6.4885, 6.4885 Å; angles 153.86, 138.22, 49.95 degrees
Fractional positions:
1 Se 0.5801 0.5801 0.0000
2 Tc 0.7500 0.2500 0.5000
3 Se 0.9199 0.9199 0.0000
4 Pt 0.2500 0.7500 0.5000

Version x
Below is a relaxed TcPtSe2 crystal, with properties calculated at the PBE level.

Computed properties:
Mass density (g cm⁻³): 10.601

Cell lengths 4.2934, 2.7016, 6.6569 Å; angles 113.81, 90.00, 90.00 degrees
Fractional positions:
1 Se 0.0000 0.4890 0.4900
2 Pt 0.5000 0.7500 0.7500
3 Tc 0.5000 0.2500 0.2500
4 Se 0.0000 0.0110 0.0100

Version y
Below is a relaxed TcPtSe2 crystal, with properties calculated at the PBE level.

Computed properties:
Mass density (g cm⁻³): 9.250

Cell lengths 8.0974, 8.0974, 8.0974 Å; angles 24.61, 24.61, 24.61 degrees
Fractional positions:
1 Tc 0.0000 0.0000 0.0000
2 Se 0.1006 0.1006 0.1006
3 Pt 0.5000 0.5000 0.5000
4 Se 0.8994 0.8994 0.8994

Short version: version y is the least stable of them.

Version w
Below is a relaxed TcPtSe2 crystal, with properties calculated at the PBE level.

Computed properties:
Mass density (g cm⁻³): 9.565

Cell lengths 2.9305, 2.9305, 9.1174 Å; angles 90.00, 90.00, 90.00 degrees
Fractional positions:
1 Se 0.5000 0.5000 0.3443
2 Tc 0.0000 0.0000 0.5079
3 Pt 0.5000 0.5000 0.7142
4 Se 0.0000 0.0000 0.9336

Version x
Below is a relaxed TcPtSe2 crystal, with properties calculated at the PBE level.

Computed properties:
Mass density (g cm⁻³): 8.070

Cell lengths 4.0132, 4.0119, 5.7636 Å; angles 90.24, 90.00, 90.00 degrees
Fractional positions:
1 Se 0.5000 0.3735 0.3681
2 Se 0.0000 0.8765 0.8819
3 Tc 0.0000 0.3750 0.6249
4 Pt 0.5000 0.8750 0.6251

Short version: version w is the least stable of them.

Version w
Below is a relaxed TcPtSe2 crystal, with properties calculated at the PBE level.

Computed properties:
Mass density (g cm⁻³): 11.302

Cell lengths 5.2811, 5.2811, 5.2811 Å; angles 137.58, 137.58, 61.55 degrees
Fractional positions:
1 Se 0.0000 0.0000 0.0000
2 Se 0.2500 0.7500 0.5000
3 Pt 0.7500 0.2500 0.5000
4 Tc 0.5000 0.5000 0.0000

Version x
Below is a relaxed TcPtSe2 crystal, with properties calculated at the PBE level.

Computed properties:
Mass density (g cm⁻³): 10.854

Cell lengths 2.8666, 2.8666, 9.4878 Å; angles 90.00, 90.00, 117.75 degrees
Fractional positions:
1 Se 0.0000 0.0000 0.4723
2 Se 0.0000 0.0000 0.0277
3 Pt 0.5000 0.5000 0.7500
4 Tc 0.5000 0.5000 0.2500

Version y
Below is a relaxed TcPtSe2 crystal, with properties calculated at the PBE level.

Computed properties:
Mass density (g cm⁻³): 10.606

Cell lengths 5.8924, 5.8924, 2.6951 Å; angles 62.56, 62.56, 90.78 degrees
Fractional positions:
1 Se 0.5000 0.5000 0.0000
2 Se 0.0000 0.0000 0.0000
3 Pt 0.0000 0.5000 0.5000
4 Tc 0.5000 0.0000 0.5000

Version z
Below is a relaxed TcPtSe2 crystal, with properties calculated at the PBE level.

Computed properties:
Mass density (g cm⁻³): 10.772

Cell lengths 3.0041, 5.3857, 4.2970 Å; angles 90.00, 90.00, 90.00 degrees
Each line ends with the local moment (μB).
Fractional positions:
1 Pt 0.0000 0.5000 0.5000  0.05
2 Se 0.5000 0.5000 0.0000  0.06
3 Se 0.0000 0.0000 0.0000  0.00
4 Tc 0.5000 0.0000 0.5000  1.22

Short version: version z is the least stable of them.